# 1
Computed, not measured: a relaxed structure of TmZr2Au6 at the PBE level of DFT.

abc: 8.283 8.283 5.115
angles: 98.79 98.79 144.17
Atoms (fractional coordinates):
Tm 0.000 0.000 0.000
Zr 0.165 0.835 0.500
Zr 0.835 0.165 0.500
Au 0.166 0.499 0.165
Au 0.329 0.329 0.668
Au 0.499 0.166 0.165
Au 0.501 0.834 0.835
Au 0.671 0.671 0.332
Au 0.834 0.501 0.835

The density of states at the Fermi level comes out at 4.53 states/eV/cell. For the formation energy, the calculation gives -628 meV per atom. As for the crystal system: monoclinic. Its uncorrected energy is -46.89 eV per cell. The space group is No. 12. Its total magnetization is 0.00 μB/cell.

---

# 2
Computed, not measured: a relaxed structure of TmZrAu at the PBE level of DFT.

abc: 4.790 4.790 3.569
angles: 90.00 90.00 120.00
Atoms (fractional coordinates):
Tm 0.000 0.000 0.000
Zr 0.333 0.667 0.468
Au 0.667 0.333 0.607

The density of states at the Fermi level comes out at 3.27 states/eV/cell. For the energy above the most stable polymorph in this dataset, the calculation gives 0.233 eV/atom. For the formation energy, the calculation gives -244 meV per atom. As for the crystal system: trigonal. Its uncorrected energy is -17.03 eV per cell. The space group is No. 156. Its total magnetization is 0.00 μB/cell.

---

# 3
Computed, not measured: a relaxed structure of TmZrAu2 at the PBE level of DFT.

abc: 4.941 4.941 4.941
angles: 60.00 60.00 60.00
Atoms (fractional coordinates):
Tm 0.000 0.000 0.000
Zr 0.500 0.500 0.500
Au 0.250 0.250 0.250
Au 0.750 0.750 0.750

The density of states at the Fermi level comes out at 5.74 states/eV/cell. For the energy above the most stable polymorph in this dataset, the calculation gives 0.030 eV/atom. For the formation energy, the calculation gives -618 meV per atom. As for the crystal system: cubic. Its uncorrected energy is -22.05 eV per cell. The space group is No. 225. Its total magnetization is 0.09 μB/cell.

---

# 4
Computed, not measured: a relaxed structure of UAu4 at the PBE level of DFT.

abc: 5.422 5.422 5.422
angles: 90.00 90.00 90.00
Atoms (fractional coordinates):
U 0.000 0.000 0.000
Au 0.000 0.000 0.500
Au 0.000 0.500 0.000
Au 0.500 0.000 0.000
Au 0.500 0.500 0.500

The density of states at the Fermi level comes out at 9.32 states/eV/cell. For the formation energy, the calculation gives 1060 meV per atom. As for the crystal system: cubic. Its uncorrected energy is -19.10 eV per cell. The space group is No. 221. Its total magnetization is 2.70 μB/cell.

---

# 5
Computed, not measured: a relaxed structure of UAu12 at the PBE level of DFT.

abc: 8.064 8.064 8.064
angles: 60.00 60.00 60.00
Atoms (fractional coordinates):
U 0.000 0.000 0.000
Au 0.161 0.500 0.500
Au 0.161 0.500 0.839
Au 0.161 0.839 0.500
Au 0.500 0.161 0.500
Au 0.500 0.161 0.839
Au 0.500 0.500 0.161
Au 0.500 0.500 0.839
Au 0.500 0.839 0.161
Au 0.500 0.839 0.500
Au 0.839 0.161 0.500
Au 0.839 0.500 0.161
Au 0.839 0.500 0.500

The density of states at the Fermi level comes out at 14.62 states/eV/cell. For the formation energy, the calculation gives 642 meV per atom. As for the crystal system: cubic. Its uncorrected energy is -42.27 eV per cell. The space group is No. 225. Its total magnetization is 3.66 μB/cell.

---

# 6
Computed, not measured: a relaxed structure of U4Au at the PBE level of DFT.

abc: 5.513 5.513 5.513
angles: 90.00 90.00 90.00
Atoms (fractional coordinates):
U 0.000 0.000 0.000
U 0.000 0.500 0.500
U 0.500 0.000 0.500
U 0.500 0.500 0.000
Au 0.500 0.500 0.500

The density of states at the Fermi level comes out at 32.23 states/eV/cell. For the formation energy, the calculation gives 1489 meV per atom. As for the crystal system: cubic. Its uncorrected energy is -40.98 eV per cell. The space group is No. 221. Its total magnetization is 15.12 μB/cell.

---

# 7
Computed, not measured: a relaxed structure of UAu2 at the PBE level of DFT.

abc: 5.643 5.643 5.643
angles: 60.00 60.00 60.00
Atoms (fractional coordinates):
U 0.125 0.125 0.125
U 0.875 0.875 0.875
Au 0.000 0.500 0.500
Au 0.500 0.000 0.500
Au 0.500 0.500 0.000
Au 0.500 0.500 0.500

The density of states at the Fermi level comes out at 16.95 states/eV/cell. For the formation energy, the calculation gives 47 meV per atom. As for the crystal system: cubic. Its uncorrected energy is -35.40 eV per cell. The space group is No. 227. Its total magnetization is 6.43 μB/cell.

---

# 8
Computed, not measured: a relaxed structure of U2Au13 at the PBE level of DFT.

abc: 7.814 7.814 7.814
angles: 57.00 57.00 57.00
Atoms (fractional coordinates):
U 0.165 0.165 0.165
U 0.835 0.835 0.835
Au 0.000 0.000 0.000
Au 0.162 0.162 0.544
Au 0.162 0.544 0.162
Au 0.305 0.691 0.691
Au 0.309 0.309 0.695
Au 0.309 0.695 0.309
Au 0.456 0.838 0.838
Au 0.544 0.162 0.162
Au 0.691 0.305 0.691
Au 0.691 0.691 0.305
Au 0.695 0.309 0.309
Au 0.838 0.456 0.838
Au 0.838 0.838 0.456

The density of states at the Fermi level comes out at 19.59 states/eV/cell. For the formation energy, the calculation gives 40 meV per atom. As for the crystal system: trigonal. Its uncorrected energy is -64.58 eV per cell. The space group is No. 166. Its total magnetization is 5.33 μB/cell.